# 1
# PBE RbBeNF2, relaxed
# energy above the lowest structure with this stoichiometry = 1930 meV per atom
# magnetization = 2.0 Bohr magnetons per cell
# energy relative to the elements, uncorrected = 317 kJ/mol of formula units
data_RbBeNF2
_cell_length_a 5.152
_cell_length_b 5.152
_cell_length_c 5.309
_cell_angle_alpha 90.00
_cell_angle_beta 90.00
_cell_angle_gamma 90.00
_symmetry_space_group_name_H-M 'P 4/m m m'
_symmetry_Int_Tables_number 123
_symmetry_space_group_name_Hall '-P 4 2'
loop_
_atom_site_label
_atom_site_type_symbol
_atom_site_fract_x
_atom_site_fract_y
_atom_site_fract_z
Rb1 Rb 0.000 0.000 0.000
Be1 Be 0.500 0.500 0.500
N1 N 0.000 0.000 0.500
F1 F 0.000 0.500 0.000

# 2
# PBE RbBe2NF, relaxed
# magnetization = 0.0 Bohr magnetons per cell
# energy relative to the elements, uncorrected = 437 kJ/mol of formula units
data_RbBe2NF
_cell_length_a 3.735
_cell_length_b 3.735
_cell_length_c 5.999
_cell_angle_alpha 90.00
_cell_angle_beta 90.00
_cell_angle_gamma 90.00
_symmetry_space_group_name_H-M 'P 4/m m m'
_symmetry_Int_Tables_number 123
_symmetry_space_group_name_Hall '-P 4 2'
loop_
_atom_site_label
_atom_site_type_symbol
_atom_site_fract_x
_atom_site_fract_y
_atom_site_fract_z
Rb1 Rb 0.000 0.000 0.000
Be1 Be 0.000 0.500 0.500
N1 N 0.500 0.500 0.000
F1 F 0.000 0.000 0.500

Please write out number 1 again, unchanged.
# PBE RbBeNF2, relaxed
# energy above the lowest structure with this stoichiometry = 1930 meV per atom
# magnetization = 2.0 Bohr magnetons per cell
# energy relative to the elements, uncorrected = 317 kJ/mol of formula units
data_RbBeNF2
_cell_length_a 5.152
_cell_length_b 5.152
_cell_length_c 5.309
_cell_angle_alpha 90.00
_cell_angle_beta 90.00
_cell_angle_gamma 90.00
_symmetry_space_group_name_H-M 'P 4/m m m'
_symmetry_Int_Tables_number 123
_symmetry_space_group_name_Hall '-P 4 2'
loop_
_atom_site_label
_atom_site_type_symbol
_atom_site_fract_x
_atom_site_fract_y
_atom_site_fract_z
Rb1 Rb 0.000 0.000 0.000
Be1 Be 0.500 0.500 0.500
N1 N 0.000 0.000 0.500
F1 F 0.000 0.500 0.000